No. 1
A plane-wave DFT calculation with PBE-GGA was carried out for a geometry-optimized NdHo2TmTe6 structure.

POSCAR file:
```
NdHo2TmTe6
1.0
3.863 2.230 7.028
-3.863 2.230 7.028
0.000 -4.460 7.028
Nd Ho Tm Te
1 2 1 6
Direct
0.000 0.000 0.000 Nd
0.187 0.187 0.187 Ho
0.690 0.690 0.690 Ho
0.503 0.503 0.503 Tm
0.097 0.417 0.780 Te
0.296 0.910 0.581 Te
0.417 0.780 0.097 Te
0.581 0.296 0.910 Te
0.780 0.097 0.417 Te
0.910 0.581 0.296 Te
```

Computed properties:
space-group type = No. 146
E_form (uncorrected) = -13.5 eV per formula unit

***

No. 2
A plane-wave DFT calculation with PBE-GGA was carried out for a geometry-optimized Te2IrSe structure.

POSCAR file:
```
Te2IrSe
1.0
3.851 0.000 0.000
0.000 5.475 0.000
0.000 0.000 8.897
Te Ir Se
4 2 2
Direct
0.000 0.000 0.000 Te
0.000 0.500 0.500 Te
0.500 0.000 0.299 Te
0.500 0.500 0.799 Te
0.000 0.000 0.502 Ir
0.000 0.500 0.002 Ir
0.500 0.000 0.691 Se
0.500 0.500 0.191 Se
```

Computed properties:
space-group type = No. 38
E_form (uncorrected) = -0.3 eV per formula unit

***

No. 3
A plane-wave DFT calculation with PBE-GGA was carried out for a geometry-optimized Ni2SbAs2 structure.

POSCAR file:
```
Ni2SbAs2
1.0
3.908 0.000 0.000
0.000 3.908 0.000
0.000 0.000 11.058
Ni Sb As
4 2 4
Direct
0.000 0.000 0.113 Ni
0.000 0.000 0.887 Ni
0.500 0.500 0.387 Ni
0.500 0.500 0.613 Ni
0.000 0.000 0.500 Sb
0.500 0.500 0.000 Sb
0.000 0.500 0.250 As
0.000 0.500 0.750 As
0.500 0.000 0.250 As
0.500 0.000 0.750 As
```

Computed properties:
space-group type = No. 139
E_form (uncorrected) = 0.2 eV per formula unit
energy above the most stable polymorph in this dataset = 25.5 meV/atom

***

No. 4
A plane-wave DFT calculation with PBE-GGA was carried out for a geometry-optimized DyY2HgO structure.

POSCAR file:
```
DyY2HgO
1.0
4.780 0.000 0.000
0.000 4.780 0.000
0.000 0.000 4.759
Dy Y Hg O
1 2 1 1
Direct
0.000 0.000 0.000 Dy
0.000 0.500 0.500 Y
0.500 0.000 0.500 Y
0.500 0.500 0.000 Hg
0.000 0.000 0.500 O
```

Computed properties:
space-group type = No. 123
E_form (uncorrected) = -7.0 eV per formula unit

***

No. 5
A plane-wave DFT calculation with PBE-GGA was carried out for a geometry-optimized Ta2TiRh structure.

POSCAR file:
```
Ta2TiRh
1.0
3.200 0.000 0.000
0.000 3.200 0.000
0.000 0.000 6.522
Ta Ti Rh
2 1 1
Direct
0.000 0.000 0.000 Ta
0.500 0.500 0.262 Ta
0.500 0.500 0.749 Ti
0.000 0.000 0.506 Rh
```

Computed properties:
DFT total energy = -0.742 Ry per atom
space-group type = No. 99

***

No. 6
A plane-wave DFT calculation with PBE-GGA was carried out for a geometry-optimized Tm2Al9Pd3 structure.

POSCAR file:
```
Tm2Al9Pd3
1.0
6.640 -3.818 0.000
6.640 3.818 0.000
-4.400 0.000 9.421
Tm Al Pd
4 18 6
Direct
0.085 0.253 0.250 Tm
0.253 0.085 0.750 Tm
0.747 0.915 0.250 Tm
0.915 0.747 0.750 Tm
0.025 0.859 0.077 Al
0.141 0.975 0.423 Al
0.192 0.359 0.575 Al
0.210 0.582 0.252 Al
0.311 0.481 0.939 Al
0.359 0.192 0.075 Al
0.372 0.628 0.750 Al
0.418 0.790 0.248 Al
0.481 0.311 0.439 Al
0.519 0.689 0.561 Al
0.582 0.210 0.752 Al
0.628 0.372 0.250 Al
0.641 0.808 0.925 Al
0.689 0.519 0.061 Al
0.790 0.418 0.748 Al
0.808 0.641 0.425 Al
0.859 0.025 0.577 Al
0.975 0.141 0.923 Al
0.000 0.500 0.000 Pd
0.156 0.672 0.500 Pd
0.328 0.844 0.000 Pd
0.500 0.000 0.500 Pd
0.672 0.156 0.000 Pd
0.844 0.328 0.500 Pd
```

Computed properties:
DFT total energy = -0.355 Ry per atom
space-group type = No. 15

***

No. 7
A plane-wave DFT calculation with PBE-GGA was carried out for a geometry-optimized TaMnOs2 structure.

POSCAR file:
```
TaMnOs2
1.0
3.157 0.000 0.000
0.000 3.157 0.000
0.000 0.000 6.038
Ta Mn Os
1 1 2
Direct
0.000 0.000 0.000 Ta
0.000 0.000 0.500 Mn
0.500 0.500 0.261 Os
0.500 0.500 0.739 Os
```

Computed properties:
DFT total energy = -0.808 Ry per atom
space-group type = No. 123

***

No. 8
A plane-wave DFT calculation with PBE-GGA was carried out for a geometry-optimized La10PmY4 structure.

POSCAR file:
```
La10PmY4
1.0
-5.814 5.814 3.993
5.814 -5.814 3.993
5.814 5.814 -3.993
La Pm Y
10 1 4
Direct
0.008 0.791 0.217 La
0.209 0.426 0.217 La
0.209 0.992 0.783 La
0.250 0.750 0.500 La
0.426 0.209 0.217 La
0.574 0.791 0.783 La
0.750 0.250 0.500 La
0.791 0.008 0.217 La
0.791 0.574 0.783 La
0.992 0.209 0.783 La
0.500 0.500 0.000 Pm
0.271 0.271 0.542 Y
0.271 0.729 0.000 Y
0.729 0.271 0.000 Y
0.729 0.729 0.458 Y
```

Computed properties:
DFT total energy = -0.377 Ry per atom
space-group type = No. 139